Ta2MoIr after structural relaxation. Source: Alexandria via LeMat-Bulk, functional GGA-PBE.

The structure belongs to space group P4/mmm (No. 123); the cell edges are 3.247, 3.247 and 6.308 Å and the angles 90.00°, 90.00° and 90.00°. The distinct sites, in fractional coordinates, are Ta at (0.000, 0.000, 0.246), Mo at (0.500, 0.500, 0.000) and Ir at (0.500, 0.500, 0.500).

As for the energy relative to the elements: -0.39 eV/atom. For the magnetization, the calculation gives 0.00 Bohr magnetons per cell.

Ta2MoIr after structural relaxation. Source: Alexandria via LeMat-Bulk, functional GGA-PBE.

The structure belongs to space group P4/mmm (No. 123); the cell edges are 2.807, 2.807 and 8.533 Å and the angles 90.00°, 90.00° and 90.00°. The distinct sites, in fractional coordinates, are Ta at (0.000, 0.000, 0.229), Mo at (0.500, 0.500, 0.500) and Ir at (0.500, 0.500, 0.000).

As for the energy relative to the elements: -0.19 eV/atom. For the magnetization, the calculation gives 0.00 Bohr magnetons per cell.

TaMoIr2 after structural relaxation. Source: Alexandria via LeMat-Bulk, functional GGA-PBE.

The structure belongs to space group C2/m (No. 12); the cell edges are 5.616, 7.845 and 2.824 Å and the angles 90.00°, 90.13° and 90.00°. The distinct sites, in fractional coordinates, are Ta at (0.000, 0.000, 0.000), Mo at (0.000, 0.500, 0.000) and Ir at (0.250, 0.250, 0.500).

As for the energy relative to the elements: -0.46 eV/atom. As for the energy relative to the lowest polymorph listed for this composition: 11 meV/atom. For the magnetization, the calculation gives 0.00 Bohr magnetons per cell.

Ta2MoIr after structural relaxation. Source: Alexandria via LeMat-Bulk, functional GGA-PBE.

The structure belongs to space group P4mm (No. 99); the cell edges are 3.257, 3.257 and 6.313 Å and the angles 90.00°, 90.00° and 90.00°. The distinct sites, in fractional coordinates, are Ta at (0.000, 0.000, 0.000), Ta at (0.500, 0.500, 0.271), Mo at (0.500, 0.500, 0.766) and Ir at (0.000, 0.000, 0.503).

As for the energy relative to the elements: -0.18 eV/atom. For the magnetization, the calculation gives 0.00 Bohr magnetons per cell.

Ta2MoIr after structural relaxation. Source: Alexandria via LeMat-Bulk, functional GGA-PBE.

The structure belongs to space group Immm (No. 71); the cell edges are 2.810, 4.940 and 10.329 Å and the angles 90.00°, 90.00° and 90.00°. The distinct sites, in fractional coordinates, are Ta at (0.000, 0.000, 0.239), Mo at (0.000, 0.000, 0.500) and Ir at (0.000, 0.000, 0.000).

As for the energy relative to the elements: 0.53 eV/atom. For the magnetization, the calculation gives 0.00 Bohr magnetons per cell.

TaMoIr2 after structural relaxation. Source: Alexandria via LeMat-Bulk, functional GGA-PBE.

The structure belongs to space group Fm-3m (No. 225); the cell edges are 6.358, 6.358 and 6.358 Å and the angles 90.00°, 90.00° and 90.00°. The distinct sites, in fractional coordinates, are Ta at (0.000, 0.000, 0.000), Mo at (0.000, 0.000, 0.500) and Ir at (0.250, 0.250, 0.250).

As for the energy relative to the elements: 0.03 eV/atom. As for the energy relative to the lowest polymorph listed for this composition: 497 meV/atom. For the magnetization, the calculation gives 0.00 Bohr magnetons per cell.